[1]
LaSc3 | the Alexandria database | PBEsol | optimized geometry; space group = No. 44; ΔE_f = 0.065 eV/atom; D(E_F) = 1.565 states/eV per atom; total moment = 0.001 μB per formula unit
1.0
3.4344 0.0000 0.0000
0.0000 5.7176 0.0000
-1.7172 -2.8588 5.2805
Sc La
3 1
direct
0.2422 0.8977 0.4844 Sc
0.5000 0.5043 0.0000 Sc
0.7578 0.4133 0.5156 Sc
0.0000 0.0180 0.0000 La

=====

[2]
LaSc3 | the Alexandria database | PBEsol | optimized geometry; space group = No. 25; ΔE_f = 0.075 eV/atom; D(E_F) = 1.820 states/eV per atom; total moment = 0.002 μB per formula unit
1.0
3.4100 0.0000 0.0000
0.0000 5.3214 0.0000
0.0000 0.0000 5.7228
Sc La
3 1
direct
0.0000 0.5000 0.3424 Sc
0.5000 0.0000 0.4993 Sc
0.5000 0.5000 0.8328 Sc
0.0000 0.0000 0.9922 La

=====

[3]
LaSc | the Alexandria database | PBEsol | optimized geometry; space group = No. 194; ΔE to the lowest computed polymorph = 0.0000 eV/atom; ΔE_f = 0.048 eV/atom; D(E_F) = 1.145 states/eV per atom; total moment = 0.000 μB per formula unit
1.0
3.4379 0.0000 0.0000
-1.7190 2.9773 0.0000
0.0000 0.0000 10.8275
La Sc
2 2
direct
0.0000 0.0000 0.0000 La
0.0000 0.0000 0.5000 La
0.6667 0.3333 0.7500 Sc
0.3333 0.6667 0.2500 Sc

=====

[4]
LaSc | the Alexandria database | PBEsol | optimized geometry; space group = No. 141; ΔE to the lowest computed polymorph = 0.0395 eV/atom; ΔE_f = 0.087 eV/atom; D(E_F) = 1.930 states/eV per atom; total moment = 0.000 μB per formula unit
1.0
4.8000 0.0000 0.0000
0.0000 4.8000 0.0000
-2.4000 -2.4000 4.9267
Sc La
2 2
direct
0.7500 0.2500 0.5000 Sc
0.5000 0.5000 0.0000 Sc
0.0000 0.0000 0.0000 La
0.2500 0.7500 0.5000 La

=====

[5]
LaSc | the Alexandria database | PBEsol | optimized geometry; space group = No. 38; ΔE to the lowest computed polymorph = 0.0322 eV/atom; ΔE_f = 0.080 eV/atom; D(E_F) = 1.572 states/eV per atom; total moment = 0.000 μB per formula unit
1.0
-0.4132 0.5471 3.4082
-5.4208 0.6752 -0.7657
-1.0606 -9.0283 -0.4525
Sc La
3 3
direct
0.6622 0.0000 0.3244 Sc
0.4534 0.5000 0.9067 Sc
0.1105 0.5000 0.2210 Sc
0.0018 0.0000 0.0035 La
0.3298 0.0000 0.6595 La
0.7758 0.5000 0.5515 La

=====

[6]
LaSc | the Alexandria database | PBEsol | optimized geometry; space group = No. 129; ΔE to the lowest computed polymorph = 0.0267 eV/atom; ΔE_f = 0.075 eV/atom; D(E_F) = 1.642 states/eV per atom; total moment = 0.236 μB per formula unit
1.0
3.5222 0.0000 0.0000
0.0000 3.5222 0.0000
0.0000 0.0000 9.1772
Sc La
2 2
direct
0.5000 0.0000 0.3951 Sc
0.0000 0.5000 0.6049 Sc
0.5000 0.0000 0.8667 La
0.0000 0.5000 0.1333 La

=====

[7]
LaSc | the Alexandria database | PBEsol | optimized geometry; space group = No. 65; ΔE to the lowest computed polymorph = 0.1231 eV/atom; ΔE_f = 0.171 eV/atom; D(E_F) = 2.091 states/eV per atom; total moment = 0.003 μB per formula unit
1.0
-3.2982 0.4518 0.1023
1.3670 -1.3598 2.7157
0.7763 5.1697 2.1978
Sc La
1 1
direct
0.5000 0.5000 0.5000 Sc
0.0000 0.0000 0.0000 La

=====

[8]
LaSc | the Alexandria database | PBEsol | optimized geometry; space group = No. 221; ΔE to the lowest computed polymorph = 0.0166 eV/atom; ΔE_f = 0.065 eV/atom; D(E_F) = 1.375 states/eV per atom; total moment = 0.001 μB per formula unit
1.0
-2.3869 2.3868 1.8644
-2.5200 -2.8820 0.4632
1.6801 -0.9316 3.3436
Sc La
1 1
direct
0.5000 0.5000 0.5000 Sc
0.0000 0.0000 0.0000 La

=====

[9]
LaSc | the Alexandria database | PBEsol | optimized geometry; space group = No. 187; ΔE to the lowest computed polymorph = 0.0169 eV/atom; ΔE_f = 0.065 eV/atom; D(E_F) = 1.707 states/eV per atom; total moment = 0.000 μB per formula unit
1.0
-0.4087 -2.0245 2.7228
2.9123 1.7395 -0.4141
-6.4642 12.8695 8.5986
Sc La
3 3
direct
0.0000 0.0000 0.5000 Sc
0.3333 0.6667 0.6472 Sc
0.3333 0.6667 0.3528 Sc
0.0000 0.0000 0.1874 La
0.0000 0.0000 0.8126 La
0.3333 0.6667 0.0000 La

=====

[10]
LaScSe2 | the Alexandria database | PBEsol | optimized geometry; space group = No. 160; formation energy from raw total energies = -1.809 eV/atom; ΔE to the lowest computed polymorph = 0.0236 eV/atom; D(E_F) = 0.332 states/eV per atom; total moment = 0.000 μB per formula unit
1.0
3.9213 0.0000 0.0000
1.9606 3.3959 0.0000
1.9606 1.1320 7.0271
Sc Se La
1 2 1
direct
0.3289 0.3289 0.0134 Sc
0.9283 0.9283 0.2152 Se
0.7391 0.7391 0.7828 Se
0.5038 0.5038 0.4886 La

=====

[11]
LaScSe2 | the Alexandria database | PBEsol | optimized geometry; space group = No. 166; formation energy from raw total energies = -1.832 eV/atom; ΔE to the lowest computed polymorph = 0.0000 eV/atom; D(E_F) = 0.543 states/eV per atom; total moment = 0.000 μB per formula unit
1.0
-3.4378 -1.8190 -0.8049
-0.7299 -1.3331 -3.6695
1.3920 -7.0223 0.1248
Sc Se La
1 2 1
direct
0.0000 0.0000 0.0000 Sc
0.2613 0.2613 0.2160 Se
0.7387 0.7387 0.7840 Se
0.5000 0.5000 0.5000 La

=====

[12]
LaScSe2 | the Alexandria database | PBEsol | optimized geometry; space group = No. 71; formation energy from raw total energies = -1.543 eV/atom; ΔE to the lowest computed polymorph = 0.2899 eV/atom; D(E_F) = 0.945 states/eV per atom; total moment = 0.007 μB per formula unit
1.0
4.6242 0.0000 0.0000
2.3121 4.4659 0.0148
2.3121 1.3257 4.2646
La Sc Se
1 1 2
direct
0.5000 0.0000 0.0000 La
0.0000 0.5000 0.5000 Sc
0.2692 0.7308 0.7308 Se
0.7308 0.2692 0.2692 Se

=====

[13]
LaScSe2 | the Alexandria database | PBEsol | optimized geometry; space group = No. 119; formation energy from raw total energies = -1.304 eV/atom; ΔE to the lowest computed polymorph = 0.5280 eV/atom; D(E_F) = 0.866 states/eV per atom; total moment = 0.001 μB per formula unit
1.0
-2.9333 0.6089 -2.6838
0.1288 -3.8878 -1.0228
-2.7783 0.3744 6.1355
La Sc Se
1 1 2
direct
0.5000 0.5000 0.0000 La
0.2500 0.7500 0.5000 Sc
0.0000 0.0000 0.0000 Se
0.7500 0.2500 0.5000 Se

=====

[14]
La2ScSi2 | the Alexandria database | PBEsol | optimized geometry; space group = No. 127; formation energy from raw total energies = -0.717 eV/atom; D(E_F) = 0.740 states/eV per atom; total moment = 0.000 μB per formula unit
1.0
-4.3634 -1.0723 -0.0576
0.8101 -2.9358 -6.7166
1.5652 -6.5324 3.0441
Sc Si La
2 4 4
direct
0.0000 0.0000 0.0000 Sc
0.0000 0.5000 0.5000 Sc
0.0000 0.3824 0.8824 Si
0.0000 0.8824 0.6176 Si
0.0000 0.6176 0.1176 Si
0.0000 0.1176 0.3824 Si
0.5000 0.1780 0.6780 La
0.5000 0.6780 0.8220 La
0.5000 0.8220 0.3220 La
0.5000 0.3220 0.1780 La

=====

[15]
LaSc3Si | the Alexandria database | PBEsol | optimized geometry; space group = No. 221; formation energy from raw total energies = -0.048 eV/atom; D(E_F) = 1.914 states/eV per atom; total moment = 0.002 μB per formula unit
1.0
5.0921 0.0000 0.0000
0.0000 5.0921 0.0000
0.0000 0.0000 5.0921
Sc Si La
3 1 1
direct
0.0000 0.5000 0.0000 Sc
0.0000 0.0000 0.5000 Sc
0.5000 0.0000 0.0000 Sc
0.0000 0.0000 0.0000 Si
0.5000 0.5000 0.5000 La

=====

[16]
La2ScSi | the Alexandria database | PBEsol | optimized geometry; space group = No. 166; formation energy from raw total energies = -0.014 eV/atom; D(E_F) = 1.405 states/eV per atom; total moment = 0.002 μB per formula unit
1.0
-1.6256 -2.1287 -2.7494
2.1937 -2.0739 -2.3706
-0.2783 -8.4501 4.0276
La Sc Si
2 1 1
direct
0.2618 0.2618 0.2147 La
0.7382 0.7382 0.7853 La
0.5000 0.5000 0.5000 Sc
0.0000 0.0000 0.0000 Si

=====

[17]
LaScSi4 | the Alexandria database | PBEsol | optimized geometry; space group = No. 216; formation energy from raw total energies = -0.368 eV/atom; D(E_F) = 0.830 states/eV per atom; total moment = 0.000 μB per formula unit
1.0
5.2842 0.0000 0.0000
2.6421 4.5762 0.0000
2.6421 1.5254 4.3145
La Sc Si
1 1 4
direct
0.7500 0.7500 0.7500 La
0.0000 0.0000 0.0000 Sc
0.3716 0.3716 0.3716 Si
0.3716 0.3716 0.8853 Si
0.8853 0.3716 0.3716 Si
0.3716 0.8853 0.3716 Si

=====

[18]
LaSc2Si2 | the Alexandria database | PBEsol | optimized geometry; space group = No. 139; formation energy from raw total energies = -0.728 eV/atom; D(E_F) = 0.799 states/eV per atom; total moment = 0.003 μB per formula unit
1.0
-2.1371 1.3957 3.4632
-2.0294 -3.7836 0.2725
6.3844 -0.8622 1.6151
Sc Si La
2 2 1
direct
0.2500 0.7500 0.5000 Sc
0.7500 0.2500 0.5000 Sc
0.3972 0.3972 0.7943 Si
0.6028 0.6028 0.2057 Si
0.0000 0.0000 0.0000 La

=====

[19]
LaScSi2 | the Alexandria database | PBEsol | optimized geometry; space group = No. 12; formation energy from raw total energies = -0.635 eV/atom; ΔE to the lowest computed polymorph = 0.0989 eV/atom; D(E_F) = 0.785 states/eV per atom; total moment = 0.000 μB per formula unit
1.0
-2.9371 2.4439 0.1810
-1.3417 -4.5838 -0.2999
1.3269 1.1992 5.3389
La Sc Si
1 1 2
direct
0.5000 0.0000 0.0000 La
0.0000 0.0000 0.5000 Sc
0.7372 0.4745 0.6418 Si
0.2628 0.5255 0.3582 Si

=====

[20]
La2ScSi | the Alexandria database | PBEsol | optimized geometry; space group = No. 71; formation energy from raw total energies = -0.221 eV/atom; D(E_F) = 0.963 states/eV per atom; total moment = 0.000 μB per formula unit
1.0
4.0380 0.0000 0.0000
0.0000 4.5179 0.0000
-2.0190 -2.2590 5.5319
La Sc Si
2 1 1
direct
0.7893 0.7893 0.5786 La
0.2107 0.2107 0.4214 La
0.0000 0.5000 0.0000 Sc
0.5000 0.0000 0.0000 Si